Material: LiDy6Co2
Method: DFT, PBE
State: relaxed

Formation enthalpy at 0 K   -119 meV/atom
D(E_F)   18.1 states/eV per cell

a b c (Å): 8.329 8.329 8.329
angles (deg): 107.04 111.93 109.48
Atoms (fractional coordinates):
Li: 0.000 0.500 0.500
Li: 0.000 0.000 0.000
Dy: 0.537 0.819 0.718
Dy: 0.463 0.181 0.282
Dy: 0.101 0.819 0.282
Dy: 0.899 0.181 0.718
Dy: 0.800 0.032 0.232
Dy: 0.200 0.968 0.768
Dy: 0.200 0.432 0.232
Dy: 0.800 0.568 0.768
Dy: 0.685 0.321 0.005
Dy: 0.315 0.679 0.995
Dy: 0.315 0.321 0.636
Dy: 0.685 0.679 0.364
Co: 0.500 0.114 0.614
Co: 0.500 0.886 0.386
Co: 0.668 0.668 0.000
Co: 0.332 0.332 0.000